## K2LiEu (PBE)

Data for a geometry-optimized K2LiEu structure.

## Properties
Total moment ... 23.7 μB per cell
Crystal system ... trigonal
DOS at the Fermi energy ... 11.0 states/eV/f.u.
Formation enthalpy at 0 K ... 0.239 eV/atom

Cell: 4.0363 4.0363 42.3828 Å, 90.00 90.00 120.00°
Space group R-3m (No. 166, hexagonal axes)
Symmetry-distinct sites (fractional):
K 0.0000 0.0000 0.0940 x6
Li 0.0000 0.0000 0.5000 x3
Eu 0.0000 0.0000 0.0000 x3